## BeCrRe2 (GGA-PBE)

Data for crystalline BeCrRe2 at its relaxed geometry.

extended XYZ file:
```
8
Lattice="3.007 0.000 0.000 0.000 4.281 0.000 0.000 0.000 8.066" Properties=species:S:1:pos:R:3 pbc="T T T"
Be 0.000 0.000 0.000
Be 1.504 2.140 4.033
Cr 0.000 0.000 4.033
Cr 1.504 2.140 0.000
Re 0.000 2.140 2.009
Re 0.000 2.140 6.057
Re 1.504 0.000 2.024
Re 1.504 0.000 6.042
```

Properties
The symmetry is Immm, No. 71. For the formation energy, the calculation gives 63 meV per atom. The theoretical density comes out at 13.86 g/cm3. The value obtained for the size of the total moment is 0.81 μB per formula unit. The crystal system is orthorhombic.


## BeCr4Re (GGA-PBE)

Data for crystalline BeCr4Re at its relaxed geometry.

extended XYZ file:
```
6
Lattice="0.000 3.309 3.309 3.309 0.000 3.309 3.309 3.309 0.000" Properties=species:S:1:pos:R:3 pbc="T T T"
Be 0.000 0.000 0.000
Cr 4.142 2.477 2.477
Cr 2.477 4.142 2.477
Cr 2.477 2.477 4.142
Cr 4.142 4.142 4.142
Re 1.655 1.655 1.655
```

Properties
The symmetry is F-43m, No. 216. For the formation energy, the calculation gives 133 meV per atom. The theoretical density comes out at 9.24 g/cm3. The value obtained for the size of the total moment is 0.00 μB per formula unit. The crystal system is cubic.


## Be2CrRe (GGA-PBE)

Data for crystalline Be2CrRe at its relaxed geometry.

extended XYZ file:
```
4
Lattice="2.511 0.000 0.000 0.000 3.624 0.000 0.000 0.000 4.893" Properties=species:S:1:pos:R:3 pbc="T T T"
Be 0.000 0.000 1.176
Be 0.000 0.000 3.717
Cr 1.256 1.812 0.000
Re 1.256 1.812 2.447
```

Properties
The value obtained for the distance to the lowest polymorph of the same formula is 187.9 meV per atom. The symmetry is Pmmm, No. 47. For the formation energy, the calculation gives 136 meV per atom. The theoretical density comes out at 9.55 g/cm3. The value obtained for the size of the total moment is 0.00 μB per formula unit. The crystal system is orthorhombic.


## Be2Cr2Re (GGA-PBE)

Data for crystalline Be2Cr2Re at its relaxed geometry.

extended XYZ file:
```
10
Lattice="6.026 0.000 0.000 0.000 6.026 0.000 0.000 0.000 2.929" Properties=species:S:1:pos:R:3 pbc="T T T"
Be 0.723 2.290 0.000
Be 2.290 5.303 0.000
Be 3.736 0.723 0.000
Be 5.303 3.736 0.000
Cr 1.053 4.066 1.464
Cr 1.960 1.053 1.464
Cr 4.066 4.973 1.464
Cr 4.973 1.960 1.464
Re 0.000 0.000 0.000
Re 3.013 3.013 0.000
```

Properties
The symmetry is P4/mbm, No. 127. For the formation energy, the calculation gives -92 meV per atom. The theoretical density comes out at 9.63 g/cm3. The value obtained for the size of the total moment is 0.00 μB per formula unit. The crystal system is tetragonal.


## Be2CrRe2Ru5 (GGA-PBE)

Data for crystalline Be2CrRe2Ru5 at its relaxed geometry.

extended XYZ file:
```
20
Lattice="9.310 0.000 0.000 0.000 9.310 0.000 0.000 0.000 2.921" Properties=species:S:1:pos:R:3 pbc="T T T"
Be 1.166 3.489 0.000
Be 3.489 8.144 0.000
Be 5.821 1.166 0.000
Be 8.144 5.821 0.000
Cr 0.000 0.000 0.000
Cr 4.655 4.655 0.000
Re 1.657 6.312 0.000
Re 2.998 1.657 0.000
Re 6.312 7.653 0.000
Re 7.653 2.998 0.000
Ru 0.000 4.655 1.461
Ru 0.604 1.904 1.461
Ru 1.904 8.706 1.461
Ru 2.751 4.051 1.461
Ru 4.051 6.559 1.461
Ru 4.655 0.000 1.461
Ru 5.259 2.751 1.461
Ru 6.559 5.259 1.461
Ru 7.406 0.604 1.461
Ru 8.706 7.406 1.461
```

Properties
The symmetry is P4/mbm, No. 127. For the formation energy, the calculation gives -1 meV per atom. The theoretical density comes out at 12.43 g/cm3. The value obtained for the size of the total moment is 1.16 μB per formula unit. The crystal system is tetragonal.


## BeCrReRu (GGA-PBE)

Data for crystalline BeCrReRu at its relaxed geometry.

extended XYZ file:
```
16
Lattice="5.821 0.000 0.000 0.000 5.821 0.000 0.000 0.000 5.821" Properties=species:S:1:pos:R:3 pbc="T T T"
Be 0.000 0.000 0.000
Be 0.000 2.911 2.911
Be 2.911 0.000 2.911
Be 2.911 2.911 0.000
Cr 0.000 0.000 2.911
Cr 0.000 2.911 0.000
Cr 2.911 0.000 0.000
Cr 2.911 2.911 2.911
Re 1.455 1.455 4.366
Re 1.455 4.366 1.455
Re 4.366 1.455 1.455
Re 4.366 4.366 4.366
Ru 1.455 1.455 1.455
Ru 1.455 4.366 4.366
Ru 4.366 1.455 4.366
Ru 4.366 4.366 1.455
```

Properties
The symmetry is F-43m, No. 216. For the formation energy, the calculation gives -11 meV per atom. The theoretical density comes out at 11.73 g/cm3. The value obtained for the size of the total moment is 0.00 μB per formula unit. The crystal system is cubic.


## BeCrReTc (GGA-PBE)

Data for crystalline BeCrReTc at its relaxed geometry.

extended XYZ file:
```
16
Lattice="5.843 0.000 0.000 0.000 5.843 0.000 0.000 0.000 5.843" Properties=species:S:1:pos:R:3 pbc="T T T"
Be 0.000 0.000 0.000
Be 0.000 2.921 2.921
Be 2.921 0.000 2.921
Be 2.921 2.921 0.000
Cr 0.000 0.000 2.921
Cr 0.000 2.921 0.000
Cr 2.921 0.000 0.000
Cr 2.921 2.921 2.921
Re 1.461 1.461 4.382
Re 1.461 4.382 1.461
Re 4.382 1.461 1.461
Re 4.382 4.382 4.382
Tc 1.461 1.461 1.461
Tc 1.461 4.382 4.382
Tc 4.382 1.461 4.382
Tc 4.382 4.382 1.461
```

Properties
The symmetry is F-43m, No. 216. For the formation energy, the calculation gives 24 meV per atom. The theoretical density comes out at 11.50 g/cm3. The value obtained for the size of the total moment is 0.00 μB per formula unit. The crystal system is cubic.


## TiBeCrRe (GGA-PBE)

Data for crystalline TiBeCrRe at its relaxed geometry.

extended XYZ file:
```
16
Lattice="5.894 0.000 0.000 0.000 5.894 0.000 0.000 0.000 5.894" Properties=species:S:1:pos:R:3 pbc="T T T"
Ti 0.000 0.000 0.000
Ti 0.000 2.947 2.947
Ti 2.947 0.000 2.947
Ti 2.947 2.947 0.000
Be 1.473 1.473 4.420
Be 1.473 4.420 1.473
Be 4.420 1.473 1.473
Be 4.420 4.420 4.420
Cr 1.473 1.473 1.473
Cr 1.473 4.420 4.420
Cr 4.420 1.473 4.420
Cr 4.420 4.420 1.473
Re 0.000 0.000 2.947
Re 0.000 2.947 0.000
Re 2.947 0.000 0.000
Re 2.947 2.947 2.947
```

Properties
The symmetry is F-43m, No. 216. For the formation energy, the calculation gives -98 meV per atom. The theoretical density comes out at 9.57 g/cm3. The value obtained for the size of the total moment is 0.00 μB per formula unit. The crystal system is cubic.


## BeTlCr2Re (GGA-PBE)

Data for crystalline BeTlCr2Re at its relaxed geometry.

extended XYZ file:
```
5
Lattice="5.058 0.000 0.000 0.000 5.058 0.000 0.000 0.000 5.095" Properties=species:S:1:pos:R:3 pbc="T T T"
Be 0.000 0.000 0.000
Tl 2.529 2.529 2.547
Cr 0.000 2.529 2.547
Cr 2.529 0.000 2.547
Re 2.529 2.529 0.000
```

Properties
The symmetry is P4/mmm, No. 123. For the formation energy, the calculation gives 2518 meV per atom. The theoretical density comes out at 6.41 g/cm3. The value obtained for the size of the total moment is 6.47 μB per formula unit. The crystal system is tetragonal.


## BeVCrRe (GGA-PBE)

Data for crystalline BeVCrRe at its relaxed geometry.

extended XYZ file:
```
16
Lattice="5.802 0.000 0.000 0.000 5.802 0.000 0.000 0.000 5.802" Properties=species:S:1:pos:R:3 pbc="T T T"
Be 0.000 0.000 0.000
Be 0.000 2.901 2.901
Be 2.901 0.000 2.901
Be 2.901 2.901 0.000
V 1.450 1.450 4.351
V 1.450 4.351 1.450
V 4.351 1.450 1.450
V 4.351 4.351 4.351
Cr 0.000 0.000 2.901
Cr 0.000 2.901 0.000
Cr 2.901 0.000 0.000
Cr 2.901 2.901 2.901
Re 1.450 1.450 1.450
Re 1.450 4.351 4.351
Re 4.351 1.450 4.351
Re 4.351 4.351 1.450
```

Properties
The symmetry is F-43m, No. 216. For the formation energy, the calculation gives -4 meV per atom. The theoretical density comes out at 10.14 g/cm3. The value obtained for the size of the total moment is 0.62 μB per formula unit. The crystal system is cubic.


## BeCrRh (GGA-PBE)

Data for crystalline BeCrRh at its relaxed geometry.

extended XYZ file:
```
3
Lattice="3.928 0.000 0.000 -1.964 3.402 0.000 0.000 0.000 2.598" Properties=species:S:1:pos:R:3 pbc="T T T"
Be 0.000 0.000 0.000
Cr 0.000 2.268 1.027
Rh 1.964 1.134 2.107
```

Properties
The value obtained for the distance to the lowest polymorph of the same formula is 144.4 meV per atom. The symmetry is P3m1, No. 156. For the formation energy, the calculation gives -71 meV per atom. The theoretical density comes out at 7.84 g/cm3. The value obtained for the size of the total moment is 0.00 μB per formula unit. The crystal system is trigonal.


## BeCr2Rh (GGA-PBE)

Data for crystalline BeCr2Rh at its relaxed geometry.

extended XYZ file:
```
8
Lattice="2.880 0.000 0.000 0.000 4.239 0.000 0.000 0.000 7.759" Properties=species:S:1:pos:R:3 pbc="T T T"
Be 0.000 0.000 0.000
Be 1.440 2.119 3.879
Cr 0.000 0.000 3.748
Cr 0.000 2.119 5.886
Cr 1.440 0.000 2.007
Cr 1.440 2.119 7.627
Rh 0.000 2.119 1.967
Rh 1.440 0.000 5.846
```

Properties
The value obtained for the distance to the lowest polymorph of the same formula is 171.0 meV per atom. The symmetry is Imm2, No. 44. For the formation energy, the calculation gives -9 meV per atom. The theoretical density comes out at 7.57 g/cm3. The value obtained for the size of the total moment is 0.24 μB per formula unit. The crystal system is orthorhombic.


## BeCr2Rh (GGA-PBE)

Data for crystalline BeCr2Rh at its relaxed geometry.

extended XYZ file:
```
12
Lattice="2.600 0.000 0.000 -1.300 2.252 0.000 0.000 0.000 24.391" Properties=species:S:1:pos:R:3 pbc="T T T"
Be 0.000 0.000 0.000
Be 0.000 1.501 16.261
Be 1.300 0.751 8.130
Cr 0.000 0.000 6.184
Cr 0.000 0.000 18.207
Cr 0.000 1.501 10.077
Cr 0.000 1.501 22.445
Cr 1.300 0.751 1.946
Cr 1.300 0.751 14.314
Rh 0.000 0.000 12.195
Rh 0.000 1.501 4.065
Rh 1.300 0.751 20.326
```

Properties
The value obtained for the distance to the lowest polymorph of the same formula is 385.2 meV per atom. The symmetry is R-3m, No. 166. For the formation energy, the calculation gives 205 meV per atom. The theoretical density comes out at 7.53 g/cm3. The value obtained for the size of the total moment is 0.00 μB per formula unit. The crystal system is trigonal.


## BeCr2Rh (GGA-PBE)

Data for crystalline BeCr2Rh at its relaxed geometry.

extended XYZ file:
```
8
Lattice="8.048 0.000 0.000 0.000 2.562 0.000 -0.509 0.000 4.552" Properties=species:S:1:pos:R:3 pbc="T T T"
Be 0.000 0.000 0.000
Be 4.024 1.281 0.000
Cr -0.150 1.281 2.201
Cr 1.836 1.281 1.119
Cr 3.874 0.000 2.201
Cr 5.861 0.000 1.119
Rh 1.667 0.000 3.531
Rh 5.691 1.281 3.531
```

Properties
The value obtained for the distance to the lowest polymorph of the same formula is 220.5 meV per atom. The symmetry is Cm, No. 8. For the formation energy, the calculation gives 40 meV per atom. The theoretical density comes out at 7.64 g/cm3. The value obtained for the size of the total moment is 0.01 μB per formula unit. The crystal system is monoclinic.


## BeCr2Rh (GGA-PBE)

Data for crystalline BeCr2Rh at its relaxed geometry.

extended XYZ file:
```
8
Lattice="4.609 0.000 0.000 0.000 7.931 0.000 0.000 0.000 2.556" Properties=species:S:1:pos:R:3 pbc="T T T"
Be 0.000 0.000 0.000
Be 2.304 3.966 0.000
Cr 1.152 1.983 1.278
Cr 1.152 5.948 1.278
Cr 3.457 1.983 1.278
Cr 3.457 5.948 1.278
Rh 0.000 3.966 0.000
Rh 2.304 0.000 0.000
```

Properties
The value obtained for the distance to the lowest polymorph of the same formula is 206.5 meV per atom. The symmetry is Cmmm, No. 65. For the formation energy, the calculation gives 26 meV per atom. The theoretical density comes out at 7.67 g/cm3. The value obtained for the size of the total moment is 0.00 μB per formula unit. The crystal system is orthorhombic.


## BeCrRh (GGA-PBE)

Data for crystalline BeCrRh at its relaxed geometry.

extended XYZ file:
```
12
Lattice="5.407 0.000 0.000 0.000 5.407 0.000 0.000 0.000 5.407" Properties=species:S:1:pos:R:3 pbc="T T T"
Be 0.000 0.000 0.000
Be 0.000 2.704 2.704
Be 2.704 0.000 2.704
Be 2.704 2.704 0.000
Cr 1.352 1.352 1.352
Cr 1.352 4.055 4.055
Cr 4.055 1.352 4.055
Cr 4.055 4.055 1.352
Rh 1.352 1.352 4.055
Rh 1.352 4.055 1.352
Rh 4.055 1.352 1.352
Rh 4.055 4.055 4.055
```

Properties
The value obtained for the distance to the lowest polymorph of the same formula is 368.7 meV per atom. The symmetry is F-43m, No. 216. For the formation energy, the calculation gives 154 meV per atom. The theoretical density comes out at 6.89 g/cm3. The value obtained for the size of the total moment is 3.49 μB per formula unit. The crystal system is cubic.


## BeCr2Rh (GGA-PBE)

Data for crystalline BeCr2Rh at its relaxed geometry.

extended XYZ file:
```
4
Lattice="2.585 0.000 0.000 0.000 2.585 0.000 0.000 0.000 6.853" Properties=species:S:1:pos:R:3 pbc="T T T"
Be 0.000 0.000 0.000
Cr 1.293 1.293 1.547
Cr 1.293 1.293 5.306
Rh 0.000 0.000 3.427
```

Properties
The value obtained for the distance to the lowest polymorph of the same formula is 220.7 meV per atom. The symmetry is P4/mmm, No. 123. For the formation energy, the calculation gives 40 meV per atom. The theoretical density comes out at 7.83 g/cm3. The value obtained for the size of the total moment is 0.00 μB per formula unit. The crystal system is tetragonal.


## BeCr2Rh (GGA-PBE)

Data for crystalline BeCr2Rh at its relaxed geometry.

extended XYZ file:
```
12
Lattice="2.614 0.000 0.000 -1.307 2.264 0.000 0.000 0.000 24.009" Properties=species:S:1:pos:R:3 pbc="T T T"
Be 0.000 0.000 0.000
Be 0.000 1.509 16.006
Be 1.307 0.755 8.003
Cr 0.000 0.000 6.079
Cr 0.000 0.000 11.949
Cr 0.000 1.509 3.946
Cr 0.000 1.509 22.085
Cr 1.307 0.755 14.082
Cr 1.307 0.755 19.952
Rh 0.000 0.000 17.884
Rh 0.000 1.509 9.881
Rh 1.307 0.755 1.878
```

Properties
The value obtained for the distance to the lowest polymorph of the same formula is 332.6 meV per atom. The symmetry is R3m, No. 160. For the formation energy, the calculation gives 152 meV per atom. The theoretical density comes out at 7.57 g/cm3. The value obtained for the size of the total moment is 0.11 μB per formula unit. The crystal system is trigonal.


## BeCr2Rh (GGA-PBE)

Data for crystalline BeCr2Rh at its relaxed geometry.

extended XYZ file:
```
16
Lattice="5.851 0.000 0.000 0.000 5.851 0.000 0.000 0.000 5.851" Properties=species:S:1:pos:R:3 pbc="T T T"
Be 0.000 0.000 0.000
Be 0.000 2.926 2.926
Be 2.926 0.000 2.926
Be 2.926 2.926 0.000
Cr 1.463 1.463 1.463
Cr 1.463 1.463 4.388
Cr 1.463 4.388 1.463
Cr 1.463 4.388 4.388
Cr 4.388 1.463 1.463
Cr 4.388 1.463 4.388
Cr 4.388 4.388 1.463
Cr 4.388 4.388 4.388
Rh 0.000 0.000 2.926
Rh 0.000 2.926 0.000
Rh 2.926 0.000 0.000
Rh 2.926 2.926 2.926
```

Properties
The value obtained for the distance to the lowest polymorph of the same formula is 404.3 meV per atom. The symmetry is Fm-3m, No. 225. For the formation energy, the calculation gives 224 meV per atom. The theoretical density comes out at 7.16 g/cm3. The value obtained for the size of the total moment is 5.04 μB per formula unit. The crystal system is cubic.


## BeCr2Rh (GGA-PBE)

Data for crystalline BeCr2Rh at its relaxed geometry.

extended XYZ file:
```
8
Lattice="2.865 0.000 0.000 0.000 3.761 0.000 0.000 0.000 8.371" Properties=species:S:1:pos:R:3 pbc="T T T"
Be 0.000 0.000 0.000
Be 1.432 1.880 4.185
Cr 0.000 1.880 2.124
Cr 0.000 1.880 6.246
Cr 1.432 0.000 2.061
Cr 1.432 0.000 6.310
Rh 0.000 0.000 4.185
Rh 1.432 1.880 0.000
```

Properties
The value obtained for the distance to the lowest polymorph of the same formula is 0.0 meV per atom. The symmetry is Immm, No. 71. For the formation energy, the calculation gives -180 meV per atom. The theoretical density comes out at 7.95 g/cm3. The value obtained for the size of the total moment is 0.00 μB per formula unit. The crystal system is orthorhombic.